# 1
## LiMg7Hg4 (GGA-PBE)

Data for an optimized crystal structure of LiMg7Hg4.

Structure (CIF):
```
data_LiMg7Hg4
_chemical_formula_sum 'Li2 Mg14 Hg8'
_space_group_name_H-M_alt 'C 1 2/m 1'
_space_group_IT_number 12
_cell_length_a 13.630
_cell_length_b 4.985
_cell_length_c 10.172
_cell_angle_alpha 90.00
_cell_angle_beta 127.21
_cell_angle_gamma 90.00
loop_
_space_group_symop_operation_xyz
'x,y,z'
'-x,-y,-z'
'-x,y,-z'
'x,-y,z'
'x+1/2,y+1/2,z'
'-x+1/2,-y+1/2,-z'
'-x+1/2,y+1/2,-z'
'x+1/2,-y+1/2,z'
loop_
_atom_site_label
_atom_site_type_symbol
_atom_site_fract_x
_atom_site_fract_y
_atom_site_fract_z
_atom_site_occupancy
Li1 Li 0.000 0.000 0.000 1
Mg1 Mg 0.000 0.500 0.000 1
Mg2 Mg 0.076 0.000 0.337 1
Mg3 Mg 0.150 0.500 0.588 1
Mg4 Mg 0.212 0.000 0.874 1
Hg1 Hg 0.069 0.500 0.785 1
Hg2 Hg 0.210 0.500 0.333 1
```

V: 550.4 Å³ per cell
Theoretical density: 5.910 g/cm3
Total DFT energy (no corrections): -1.286 eV per atom

***

# 2
## CdHg2I6 (GGA-PBE)

Data for an optimized crystal structure of CdHg2I6.

Structure (CIF):
```
data_CdHg2I6
_chemical_formula_sum 'Cd4 Hg8 I24'
_space_group_name_H-M_alt 'C 1 2/c 1'
_space_group_IT_number 15
_cell_length_a 15.668
_cell_length_b 15.851
_cell_length_c 7.603
_cell_angle_alpha 90.00
_cell_angle_beta 113.47
_cell_angle_gamma 90.00
loop_
_space_group_symop_operation_xyz
'x,y,z'
'-x,-y,-z'
'-x,y,-z+1/2'
'x,-y,z+1/2'
'x+1/2,y+1/2,z'
'-x+1/2,-y+1/2,-z'
'-x+1/2,y+1/2,-z+1/2'
'x+1/2,-y+1/2,z+1/2'
loop_
_atom_site_label
_atom_site_type_symbol
_atom_site_fract_x
_atom_site_fract_y
_atom_site_fract_z
_atom_site_occupancy
Cd1 Cd 0.000 0.192 0.250 1
Hg1 Hg 0.205 0.416 0.374 1
I1 I 0.104 0.090 0.575 1
I2 I 0.120 0.279 0.116 1
I3 I 0.143 0.423 0.673 1
```

V: 1732.1 Å³ per cell
E_form (uncorrected): -385 meV per atom
Theoretical density: 4.889 g/cm3

***

# 3
## HfHgGe3 (GGA-PBE)

Data for an optimized crystal structure of HfHgGe3.

Structure (CIF):
```
data_HfHgGe3
_chemical_formula_sum 'Hf1 Hg1 Ge3'
_space_group_name_H-M_alt 'P m -3 m'
_space_group_IT_number 221
_space_group_name_Hall '-P 4 2 3'
_cell_length_a 5.069
_cell_length_b 5.069
_cell_length_c 5.069
_cell_angle_alpha 90.00
_cell_angle_beta 90.00
_cell_angle_gamma 90.00
loop_
_atom_site_label
_atom_site_type_symbol
_atom_site_fract_x
_atom_site_fract_y
_atom_site_fract_z
_atom_site_occupancy
Hf1 Hf 0.000 0.000 0.000 1
Hg1 Hg 0.500 0.500 0.500 1
Ge1 Ge 0.000 0.500 0.500 1
```

V: 130.3 Å³ per cell
ΔE to the lowest computed polymorph: 0.6779 eV/atom
Theoretical density: 7.610 g/cm3

***

# 4
## Tb6HoTe8 (GGA-PBE)

Data for an optimized crystal structure of Tb6HoTe8.

Structure (CIF):
```
data_Tb6HoTe8
_chemical_formula_sum 'Tb24 Ho4 Te32'
_space_group_name_H-M_alt 'F m -3 m'
_space_group_IT_number 225
_space_group_name_Hall '-F 4 2 3'
_cell_length_a 12.315
_cell_length_b 12.315
_cell_length_c 12.315
_cell_angle_alpha 90.00
_cell_angle_beta 90.00
_cell_angle_gamma 90.00
loop_
_atom_site_label
_atom_site_type_symbol
_atom_site_fract_x
_atom_site_fract_y
_atom_site_fract_z
_atom_site_occupancy
Tb1 Tb 0.000 0.250 0.250 1
Ho1 Ho 0.000 0.000 0.000 1
Te1 Te 0.000 0.000 0.254 1
Te2 Te 0.250 0.250 0.250 1
```

V: 1867.5 Å³ per cell
E_form (uncorrected): -1379 meV per atom
Theoretical density: 7.609 g/cm3

***

# 5
## KMnSb (GGA-PBE)

Data for an optimized crystal structure of KMnSb.

Structure (CIF):
```
data_KMnSb
_chemical_formula_sum 'K2 Mn2 Sb2'
_space_group_name_H-M_alt 'I m m 2'
_space_group_IT_number 44
_cell_length_a 3.858
_cell_length_b 3.880
_cell_length_c 12.694
_cell_angle_alpha 90.00
_cell_angle_beta 90.00
_cell_angle_gamma 90.00
loop_
_space_group_symop_operation_xyz
'x,y,z'
'-x,-y,z'
'-x,y,z'
'x,-y,z'
'x+1/2,y+1/2,z+1/2'
'-x+1/2,-y+1/2,z+1/2'
'-x+1/2,y+1/2,z+1/2'
'x+1/2,-y+1/2,z+1/2'
loop_
_atom_site_label
_atom_site_type_symbol
_atom_site_fract_x
_atom_site_fract_y
_atom_site_fract_z
_atom_site_occupancy
K1 K 0.000 0.000 0.000 1
Mn1 Mn 0.000 0.000 0.262 1
Sb1 Sb 0.000 0.000 0.722 1
```

V: 190.0 Å³ per cell
E_form (uncorrected): 138 meV per atom
Theoretical density: 3.772 g/cm3

***

# 6
## CeTc2Ge (GGA-PBE)

Data for an optimized crystal structure of CeTc2Ge.

Structure (CIF):
```
data_CeTc2Ge
_chemical_formula_sum 'Ce1 Tc2 Ge1'
_space_group_name_H-M_alt 'P 4/m m m'
_space_group_IT_number 123
_space_group_name_Hall '-P 4 2'
_cell_length_a 4.459
_cell_length_b 4.459
_cell_length_c 3.437
_cell_angle_alpha 90.00
_cell_angle_beta 90.00
_cell_angle_gamma 90.00
loop_
_atom_site_label
_atom_site_type_symbol
_atom_site_fract_x
_atom_site_fract_y
_atom_site_fract_z
_atom_site_occupancy
Ce1 Ce 0.000 0.000 0.000 1
Tc1 Tc 0.000 0.500 0.500 1
Ge1 Ge 0.500 0.500 0.000 1
```

V: 68.3 Å³ per cell
ΔE to the lowest computed polymorph: 0.1337 eV/atom
Theoretical density: 9.935 g/cm3

***

# 7
## Zr3In2H2 (GGA-PBE)

Data for an optimized crystal structure of Zr3In2H2.

Structure (CIF):
```
data_Zr3In2H2
_chemical_formula_sum 'Zr3 In2 H2'
_space_group_name_H-M_alt 'P 1 2/m 1'
_space_group_IT_number 10
_cell_length_a 4.566
_cell_length_b 3.385
_cell_length_c 8.017
_cell_angle_alpha 90.00
_cell_angle_beta 106.46
_cell_angle_gamma 90.00
loop_
_space_group_symop_operation_xyz
'x,y,z'
'-x,-y,-z'
'-x,y,-z'
'x,-y,z'
loop_
_atom_site_label
_atom_site_type_symbol
_atom_site_fract_x
_atom_site_fract_y
_atom_site_fract_z
_atom_site_occupancy
Zr1 Zr 0.000 0.000 0.000 1
Zr2 Zr 0.381 0.500 0.765 1
In1 In 0.194 0.000 0.388 1
H1 H 0.264 0.500 0.000 1
```

V: 118.8 Å³ per cell
Theoretical density: 7.062 g/cm3
Total DFT energy (no corrections): -5.785 eV per atom

***

# 8
## KV3Au (GGA-PBE)

Data for an optimized crystal structure of KV3Au.

Structure (CIF):
```
data_KV3Au
_chemical_formula_sum 'K1 V3 Au1'
_space_group_name_H-M_alt 'P m -3 m'
_space_group_IT_number 221
_space_group_name_Hall '-P 4 2 3'
_cell_length_a 4.298
_cell_length_b 4.298
_cell_length_c 4.298
_cell_angle_alpha 90.00
_cell_angle_beta 90.00
_cell_angle_gamma 90.00
loop_
_atom_site_label
_atom_site_type_symbol
_atom_site_fract_x
_atom_site_fract_y
_atom_site_fract_z
_atom_site_occupancy
K1 K 0.000 0.000 0.000 1
V1 V 0.000 0.000 0.500 1
Au1 Au 0.500 0.500 0.500 1
```

V: 79.4 Å³ per cell
ΔE to the lowest computed polymorph: 0.9589 eV/atom
Theoretical density: 8.134 g/cm3

***

# 9
## Rb2PbSI6 (GGA-PBE)

Data for an optimized crystal structure of Rb2PbSI6.

Structure (CIF):
```
data_Rb2PbSI6
_chemical_formula_sum 'Rb4 Pb2 S2 I12'
_space_group_name_H-M_alt 'I 4/m m m'
_space_group_IT_number 139
_space_group_name_Hall '-I 4 2'
_cell_length_a 8.243
_cell_length_b 8.243
_cell_length_c 14.037
_cell_angle_alpha 90.00
_cell_angle_beta 90.00
_cell_angle_gamma 90.00
loop_
_atom_site_label
_atom_site_type_symbol
_atom_site_fract_x
_atom_site_fract_y
_atom_site_fract_z
_atom_site_occupancy
Rb1 Rb 0.000 0.500 0.250 1
Pb1 Pb 0.000 0.000 0.000 1
S1 S 0.000 0.000 0.500 1
I1 I 0.000 0.000 0.226 1
I2 I 0.230 0.230 0.500 1
```

V: 953.7 Å³ per cell
E_form (uncorrected): -630 meV per atom
Theoretical density: 4.080 g/cm3

***

# 10
## Tm2BiPb (GGA-PBE)

Data for an optimized crystal structure of Tm2BiPb.

Structure (CIF):
```
data_Tm2BiPb
_chemical_formula_sum 'Tm8 Bi4 Pb4'
_space_group_name_H-M_alt 'F m -3 m'
_space_group_IT_number 225
_space_group_name_Hall '-F 4 2 3'
_cell_length_a 7.695
_cell_length_b 7.695
_cell_length_c 7.695
_cell_angle_alpha 90.00
_cell_angle_beta 90.00
_cell_angle_gamma 90.00
loop_
_atom_site_label
_atom_site_type_symbol
_atom_site_fract_x
_atom_site_fract_y
_atom_site_fract_z
_atom_site_occupancy
Tm1 Tm 0.250 0.250 0.250 1
Bi1 Bi 0.000 0.000 0.000 1
Pb1 Pb 0.000 0.000 0.500 1
```

V: 455.7 Å³ per cell
ΔE to the lowest computed polymorph: 0.1947 eV/atom
Theoretical density: 10.991 g/cm3

***

# 11
## TbHo2AlC (GGA-PBE)

Data for an optimized crystal structure of TbHo2AlC.

Structure (CIF):
```
data_TbHo2AlC
_chemical_formula_sum 'Tb1 Ho2 Al1 C1'
_space_group_name_H-M_alt 'P 4/m m m'
_space_group_IT_number 123
_space_group_name_Hall '-P 4 2'
_cell_length_a 4.857
_cell_length_b 4.857
_cell_length_c 4.915
_cell_angle_alpha 90.00
_cell_angle_beta 90.00
_cell_angle_gamma 90.00
loop_
_atom_site_label
_atom_site_type_symbol
_atom_site_fract_x
_atom_site_fract_y
_atom_site_fract_z
_atom_site_occupancy
Tb1 Tb 0.000 0.000 0.000 1
Ho1 Ho 0.000 0.500 0.500 1
Al1 Al 0.500 0.500 0.000 1
C1 C 0.000 0.000 0.500 1
```

V: 115.9 Å³ per cell
Theoretical density: 7.559 g/cm3
Total DFT energy (no corrections): -5.745 eV per atom

***

# 12
## TeMoPt2 (GGA-PBE)

Data for an optimized crystal structure of TeMoPt2.

Structure (CIF):
```
data_TeMoPt2
_chemical_formula_sum 'Te2 Mo2 Pt4'
_space_group_name_H-M_alt 'I m m m'
_space_group_IT_number 71
_space_group_name_Hall '-I 2 2'
_cell_length_a 3.293
_cell_length_b 4.518
_cell_length_c 9.326
_cell_angle_alpha 90.00
_cell_angle_beta 90.00
_cell_angle_gamma 90.00
loop_
_atom_site_label
_atom_site_type_symbol
_atom_site_fract_x
_atom_site_fract_y
_atom_site_fract_z
_atom_site_occupancy
Te1 Te 0.000 0.000 0.000 1
Mo1 Mo 0.000 0.000 0.500 1
Pt1 Pt 0.000 0.500 0.262 1
```

V: 138.7 Å³ per cell
E_form (uncorrected): 209 meV per atom
Theoretical density: 14.690 g/cm3

***

# 13
## Ti3CdSn (GGA-PBE)

Data for an optimized crystal structure of Ti3CdSn.

Structure (CIF):
```
data_Ti3CdSn
_chemical_formula_sum 'Ti3 Cd1 Sn1'
_space_group_name_H-M_alt 'P m -3 m'
_space_group_IT_number 221
_space_group_name_Hall '-P 4 2 3'
_cell_length_a 5.029
_cell_length_b 5.029
_cell_length_c 5.029
_cell_angle_alpha 90.00
_cell_angle_beta 90.00
_cell_angle_gamma 90.00
loop_
_atom_site_label
_atom_site_type_symbol
_atom_site_fract_x
_atom_site_fract_y
_atom_site_fract_z
_atom_site_occupancy
Ti1 Ti 0.000 0.000 0.500 1
Cd1 Cd 0.500 0.500 0.500 1
Sn1 Sn 0.000 0.000 0.000 1
```

V: 127.2 Å³ per cell
ΔE to the lowest computed polymorph: 0.0000 eV/atom
Theoretical density: 4.893 g/cm3

***

# 14
## LaPr2Al9 (GGA-PBE)

Data for an optimized crystal structure of LaPr2Al9.

Structure (CIF):
```
data_LaPr2Al9
_chemical_formula_sum 'La3 Pr6 Al27'
_space_group_name_H-M_alt 'R -3 m'
_space_group_IT_number 166
_space_group_name_Hall '-R 3 2"'
_cell_length_a 5.7176
_cell_length_b 5.7176
_cell_length_c 26.7177
_cell_angle_alpha 90.00
_cell_angle_beta 90.00
_cell_angle_gamma 120.00
loop_
_atom_site_label
_atom_site_type_symbol
_atom_site_fract_x
_atom_site_fract_y
_atom_site_fract_z
_atom_site_occupancy
La1 La 0.0000 0.0000 0.0000 1
Pr1 Pr 0.0000 0.0000 0.1409 1
Al1 Al 0.0000 0.0000 0.3352 1
Al2 Al 0.0000 0.0000 0.5000 1
Al3 Al 0.0069 0.5035 0.9176 1
```

V: 756.4 Å³ per cell
Theoretical density: 4.370 g/cm3
Total DFT energy (no corrections): -4.411 eV per atom

***

# 15
## Pm2ZnOs (GGA-PBE)

Data for an optimized crystal structure of Pm2ZnOs.

Structure (CIF):
```
data_Pm2ZnOs
_chemical_formula_sum 'Pm4 Zn2 Os2'
_space_group_name_H-M_alt 'P 1 21/m 1'
_space_group_IT_number 11
_cell_length_a 5.908
_cell_length_b 4.297
_cell_length_c 8.089
_cell_angle_alpha 90.00
_cell_angle_beta 111.01
_cell_angle_gamma 90.00
loop_
_space_group_symop_operation_xyz
'x,y,z'
'-x,-y,-z'
'-x,y+1/2,-z'
'x,-y+1/2,z'
loop_
_atom_site_label
_atom_site_type_symbol
_atom_site_fract_x
_atom_site_fract_y
_atom_site_fract_z
_atom_site_occupancy
Pm1 Pm 0.187 0.250 0.418 1
Pm2 Pm 0.270 0.750 0.060 1
Zn1 Zn 0.365 0.750 0.716 1
Os1 Os 0.148 0.250 0.781 1
```

V: 191.7 Å³ per cell
ΔE to the lowest computed polymorph: 0.0000 eV/atom
Theoretical density: 9.452 g/cm3

***

# 16
## ZnAg2Sb (GGA-PBE)

Data for an optimized crystal structure of ZnAg2Sb.

Structure (CIF):
```
data_ZnAg2Sb
_chemical_formula_sum 'Zn4 Ag8 Sb4'
_space_group_name_H-M_alt 'F m -3 m'
_space_group_IT_number 225
_space_group_name_Hall '-F 4 2 3'
_cell_length_a 6.845
_cell_length_b 6.845
_cell_length_c 6.845
_cell_angle_alpha 90.00
_cell_angle_beta 90.00
_cell_angle_gamma 90.00
loop_
_atom_site_label
_atom_site_type_symbol
_atom_site_fract_x
_atom_site_fract_y
_atom_site_fract_z
_atom_site_occupancy
Zn1 Zn 0.000 0.000 0.000 1
Ag1 Ag 0.250 0.250 0.250 1
Sb1 Sb 0.000 0.000 0.500 1
```

V: 320.7 Å³ per cell
E_form (uncorrected): 167 meV per atom
ΔE to the lowest computed polymorph: 0.0962 eV/atom
Theoretical density: 8.345 g/cm3

***

# 17
## Dy2Bi2O (GGA-PBE)

Data for an optimized crystal structure of Dy2Bi2O.

Structure (CIF):
```
data_Dy2Bi2O
_chemical_formula_sum 'Dy8 Bi8 O4'
_space_group_name_H-M_alt 'C 1 2/m 1'
_space_group_IT_number 12
_cell_length_a 13.516
_cell_length_b 4.090
_cell_length_c 11.450
_cell_angle_alpha 90.00
_cell_angle_beta 124.06
_cell_angle_gamma 90.00
loop_
_space_group_symop_operation_xyz
'x,y,z'
'-x,-y,-z'
'-x,y,-z'
'x,-y,z'
'x+1/2,y+1/2,z'
'-x+1/2,-y+1/2,-z'
'-x+1/2,y+1/2,-z'
'x+1/2,-y+1/2,z'
loop_
_atom_site_label
_atom_site_type_symbol
_atom_site_fract_x
_atom_site_fract_y
_atom_site_fract_z
_atom_site_occupancy
Dy1 Dy 0.034 0.000 0.195 1
Dy2 Dy 0.196 0.000 0.578 1
Bi1 Bi 0.053 0.500 0.664 1
Bi2 Bi 0.140 0.500 0.067 1
O1 O 0.212 0.000 0.394 1
```

V: 524.3 Å³ per cell
E_form (uncorrected): -1621 meV per atom
Theoretical density: 9.615 g/cm3

***

# 18
## PaCuPtAu (GGA-PBE)

Data for an optimized crystal structure of PaCuPtAu.

Structure (CIF):
```
data_PaCuPtAu
_chemical_formula_sum 'Pa4 Cu4 Pt4 Au4'
_space_group_name_H-M_alt 'F -4 3 m'
_space_group_IT_number 216
_space_group_name_Hall 'F -4 2 3'
_cell_length_a 6.748
_cell_length_b 6.748
_cell_length_c 6.748
_cell_angle_alpha 90.00
_cell_angle_beta 90.00
_cell_angle_gamma 90.00
loop_
_atom_site_label
_atom_site_type_symbol
_atom_site_fract_x
_atom_site_fract_y
_atom_site_fract_z
_atom_site_occupancy
Pa1 Pa 0.000 0.000 0.000 1
Cu1 Cu 0.000 0.000 0.500 1
Pt1 Pt 0.250 0.250 0.250 1
Au1 Au 0.250 0.250 0.750 1
```

V: 307.3 Å³ per cell
Theoretical density: 14.842 g/cm3
Total DFT energy (no corrections): -6.174 eV per atom

***

# 19
## K2TcH2 (GGA-PBE)

Data for an optimized crystal structure of K2TcH2.

Structure (CIF):
```
data_K2TcH2
_chemical_formula_sum 'K4 Tc2 H4'
_space_group_name_H-M_alt 'I 4/m m m'
_space_group_IT_number 139
_space_group_name_Hall '-I 4 2'
_cell_length_a 4.779
_cell_length_b 4.779
_cell_length_c 11.275
_cell_angle_alpha 90.00
_cell_angle_beta 90.00
_cell_angle_gamma 90.00
loop_
_atom_site_label
_atom_site_type_symbol
_atom_site_fract_x
_atom_site_fract_y
_atom_site_fract_z
_atom_site_occupancy
K1 K 0.000 0.000 0.162 1
Tc1 Tc 0.000 0.000 0.500 1
H1 H 0.000 0.500 0.250 1
```

V: 257.5 Å³ per cell
ΔE to the lowest computed polymorph: 0.0980 eV/atom
Theoretical density: 2.298 g/cm3

***

# 20
## Mg6Pt2Au (GGA-PBE)

Data for an optimized crystal structure of Mg6Pt2Au.

Structure (CIF):
```
data_Mg6Pt2Au
_chemical_formula_sum 'Mg12 Pt4 Au2'
_space_group_name_H-M_alt 'C 1 2/m 1'
_space_group_IT_number 12
_cell_length_a 14.168
_cell_length_b 6.331
_cell_length_c 4.483
_cell_angle_alpha 90.00
_cell_angle_beta 108.30
_cell_angle_gamma 90.00
loop_
_space_group_symop_operation_xyz
'x,y,z'
'-x,-y,-z'
'-x,y,-z'
'x,-y,z'
'x+1/2,y+1/2,z'
'-x+1/2,-y+1/2,-z'
'-x+1/2,y+1/2,-z'
'x+1/2,-y+1/2,z'
loop_
_atom_site_label
_atom_site_type_symbol
_atom_site_fract_x
_atom_site_fract_y
_atom_site_fract_z
_atom_site_occupancy
Mg1 Mg 0.000 0.239 0.000 1
Mg2 Mg 0.171 0.244 0.672 1
Pt1 Pt 0.167 0.000 0.168 1
Au1 Au 0.000 0.500 0.500 1
```

V: 381.8 Å³ per cell
ΔE to the lowest computed polymorph: 0.0047 eV/atom
Theoretical density: 6.376 g/cm3